Compound: Ba3Fe2Br2O5
Source: Alexandria
Functional: GGA+U
Structure: relaxed

Computed properties:
total magnetization = 10.00 μB per formula unit
SG = I2_13, No. 199
theoretical density = 4.71 g/cm3
E_tot = -141.5 eV/cell

a = 8.878 Å, b = 8.878 Å, c = 8.878 Å
α = 109.47°, β = 109.48°, γ = 109.47°
Fractional coordinates of all 24 atoms:
Ba: 0.655 0.405 0.250
Ba: 0.250 0.655 0.405
Ba: 0.845 0.095 0.750
Ba: 0.405 0.250 0.655
Ba: 0.095 0.750 0.845
Ba: 0.750 0.845 0.095
Fe: 0.500 0.000 0.308
Fe: 0.308 0.500 0.000
Fe: 0.000 0.308 0.500
Fe: 0.192 0.192 0.192
Br: 0.000 0.882 0.500
Br: 0.618 0.618 0.618
Br: 0.882 0.500 0.000
Br: 0.500 0.000 0.882
O: 0.983 0.982 0.982
O: 0.000 0.518 0.500
O: 0.517 0.500 0.000
O: 0.500 0.000 0.518
O: 0.107 0.357 0.750
O: 0.750 0.107 0.357
O: 0.143 0.250 0.393
O: 0.250 0.393 0.143
O: 0.393 0.143 0.250
O: 0.357 0.750 0.107